Record 1
## BaNaTl2Hg4 (GGA-PBE)

Data for a relaxed structure of BaNaTl2Hg4.

Structure (extended XYZ):
```
8
Lattice="-2.924 -1.175 4.432 0.874 -4.651 2.680 5.493 2.198 7.542" Properties=species:S:1:pos:R:3 pbc="T T T"
Ba 0.000 0.000 0.000
Na 1.721 -1.814 7.327
Tl 2.609 -2.703 11.013
Tl 0.834 -0.925 3.641
Hg 3.822 -0.406 9.086
Hg 0.417 -4.172 9.177
Hg 3.026 0.545 5.477
Hg -0.380 -3.222 5.568
```

## Properties
The total moment is 0.00 Bohr magnetons per cell. The space-group type is R-3m (166). Its formation energy is -2.16 eV per formula unit. The value obtained for the density of states at the Fermi level is 4.38 states/eV/cell.



Record 2
## KCd2Hg (GGA-PBE)

Data for a relaxed structure of KCd2Hg.

Structure (extended XYZ):
```
4
Lattice="5.376 -0.005 -0.005 4.148 3.421 -0.005 1.188 0.426 6.695" Properties=species:S:1:pos:R:3 pbc="T T T"
Cd 1.241 0.445 6.176
Cd 8.057 2.890 5.122
Hg 5.296 1.900 3.705
K 2.660 0.954 1.719
```

## Properties
The total moment is 0.00 Bohr magnetons per cell. The space-group type is Cm (8). Its formation energy is -0.22 eV per formula unit. The value obtained for the density of states at the Fermi level is 1.80 states/eV/cell.



Record 3
## HfTeSeN2 (GGA-PBE)

Data for a relaxed structure of HfTeSeN2.

Structure (extended XYZ):
```
5
Lattice="4.085 0.000 0.000 0.000 4.085 0.000 0.000 0.000 6.395" Properties=species:S:1:pos:R:3 pbc="T T T"
Te 0.000 0.000 3.197
Hf 0.000 0.000 0.000
Se 2.043 2.043 3.197
N 0.000 2.043 0.000
N 2.043 0.000 0.000
```

## Properties
For the uncorrected formation energy, the calculation gives 0.41 eV per atom. The energy above the most stable polymorph in this dataset comes out at 0.064 eV per atom. The total moment is 0.00 Bohr magnetons per cell. The space-group type is P4/mmm (123). The value obtained for the density of states at the Fermi level is 3.08 states/eV/cell.



Record 4
## Dy2GaP (GGA-PBE)

Data for a relaxed structure of Dy2GaP.

Structure (extended XYZ):
```
8
Lattice="4.090 0.000 0.000 0.000 3.965 -0.704 0.000 0.013 11.584" Properties=species:S:1:pos:R:3 pbc="T T T"
Dy 3.067 2.736 3.893
Dy 1.022 1.241 6.987
Dy 3.067 3.697 9.302
Dy 1.022 0.280 1.578
Ga 1.022 1.849 10.411
Ga 3.067 2.128 0.469
P 1.022 0.755 4.252
P 3.067 3.222 6.628
```

## Properties
The energy above the most stable polymorph in this dataset comes out at 0.000 eV per atom. The total moment is 0.00 Bohr magnetons per cell. The space-group type is Cmcm (63). Its formation energy is -4.46 eV per formula unit. The value obtained for the density of states at the Fermi level is 4.38 states/eV/cell.



no.,theoretical density (g/cm3)
1,9.8
2,6.3
3,6.4
4,7.5